[1]
The following is a PBE-GGA calculation of a relaxed structure of KV3Co, from Alexandria.

abc: 4.239 4.239 4.239
angles: 90.00 90.00 90.00
Atoms (fractional coordinates):
1 K 0.000 0.000 0.000
2 V 0.000 0.000 0.500
3 V 0.000 0.500 0.000
4 V 0.500 0.000 0.000
5 Co 0.500 0.500 0.500

Values from the calculation:
Relative energy among the computed polymorphs   1473 meV/atom
Crystal system   cubic
ΔH_f (0 K)   2.599 eV per atom
Total magnetization   2.7 μB per formula unit
E_tot   -0.332 Ry/atom

[2]
The following is a PBE-GGA calculation of a relaxed structure of KV3Co, from Alexandria.

abc: 4.676 4.676 4.676
angles: 90.00 90.00 90.00
Atoms (fractional coordinates):
1 K 0.000 0.000 0.000
2 V 0.000 0.500 0.500
3 V 0.500 0.000 0.500
4 V 0.500 0.500 0.000
5 Co 0.500 0.500 0.500

Values from the calculation:
Relative energy among the computed polymorphs   0 meV/atom
Crystal system   cubic
ΔH_f (0 K)   1.126 eV per atom
Total magnetization   6.9 μB per formula unit
E_tot   -0.440 Ry/atom

[3]
The following is a PBE-GGA calculation of a relaxed structure of K3VCo, from Alexandria.

abc: 6.484 6.484 6.484
angles: 90.00 90.00 90.00
Atoms (fractional coordinates):
1 K 0.000 0.000 0.500
2 K 0.000 0.500 0.000
3 K 0.500 0.000 0.000
4 V 0.000 0.000 0.000
5 Co 0.500 0.500 0.500

Values from the calculation:
Crystal system   cubic
ΔH_f (0 K)   1.564 eV per atom
Total magnetization   7.3 μB per formula unit
E_tot   -0.172 Ry/atom